Density functional theory data (PBE) for Nb2ReSb2 after structural relaxation.

Summary:
The value obtained for the magnetization is 0.01 μB per formula unit. The energy comes out at -8.13 eV per atom.

Cell lengths 3.397, 5.272, 6.133 Å; angles 100.40, 90.00, 108.79 degrees
Element x y z (fractional)
Sb (0.875, 0.749, 0.663)
Sb (0.125, 0.251, 0.337)
Nb (0.825, 0.650, 0.164)
Nb (0.175, 0.350, 0.836)
Re (0.500, 0.000, 0.000)

---

Density functional theory data (PBE) for ScNbRe after structural relaxation.

Summary:
The value obtained for the magnetization is 0.04 μB per formula unit. The energy comes out at -9.33 eV per atom.

Cell lengths 4.430, 4.430, 4.430 Å; angles 60.00, 60.00, 60.00 degrees
Element x y z (fractional)
Re (0.000, 0.000, 0.000)
Sc (0.750, 0.750, 0.750)
Nb (0.250, 0.250, 0.250)

---

Density functional theory data (PBE) for ScNbRe2 after structural relaxation.

Summary:
The value obtained for the magnetization is 0.00 μB per formula unit. The energy comes out at -10.38 eV per atom.

Cell lengths 4.523, 4.523, 4.523 Å; angles 60.00, 60.00, 60.00 degrees
Element x y z (fractional)
Re (0.500, 0.500, 0.500)
Re (0.250, 0.250, 0.250)
Sc (0.000, 0.000, 0.000)
Nb (0.750, 0.750, 0.750)

---

Density functional theory data (PBE) for ScNb2Re after structural relaxation.

Summary:
The value obtained for the magnetization is 0.02 μB per formula unit. The energy comes out at -9.69 eV per atom.

Cell lengths 4.635, 4.635, 4.635 Å; angles 60.00, 60.00, 60.00 degrees
Element x y z (fractional)
Nb (0.500, 0.500, 0.500)
Nb (0.750, 0.750, 0.750)
Re (0.250, 0.250, 0.250)
Sc (0.000, 0.000, 0.000)

---

Density functional theory data (PBE) for SmNbRe after structural relaxation.

Summary:
The value obtained for the magnetization is 0.03 μB per formula unit. The energy comes out at -7.36 eV per atom.

Cell lengths 4.586, 4.586, 4.586 Å; angles 60.00, 60.00, 60.00 degrees
Element x y z (fractional)
Re (0.750, 0.750, 0.750)
Nb (0.250, 0.250, 0.250)
Sm (0.000, 0.000, 0.000)

---

Density functional theory data (PBE) for SmNbRe after structural relaxation.

Summary:
The value obtained for the magnetization is 0.00 μB per formula unit. The energy comes out at -8.28 eV per atom.

Cell lengths 4.578, 4.578, 4.578 Å; angles 60.00, 60.00, 60.00 degrees
Element x y z (fractional)
Nb (0.000, 0.000, 0.000)
Sm (0.750, 0.750, 0.750)
Re (0.250, 0.250, 0.250)

---

Which value of magnetization does entry 6 give? 0.00 μB per formula unit